The following is a DFT calculation (PBE) of crystalline Y2TcRh2 at its relaxed geometry.

The structure belongs to space group P4/mbm (No. 127); the cell edges are 6.764, 6.764 and 4.406 Å and the angles 90.00°, 90.00° and 90.00°. The inequivalent atoms are Y at (0.177, 0.323, 0.000), Tc at (0.000, 0.000, 0.500) and Rh at (0.139, 0.639, 0.500).

Its total energy is -79.69 eV for the cell shown. The formation energy is -0.3697 eV/atom.